No. 1
Material: Pr3Al2Si2
Method: DFT, PBE
State: optimized geometry

Unit cell a=4.484 b=5.986 c=7.447 alpha=110.03 beta=90.00 gamma=112.00
Sites, in units of the cell vectors:
Pr 0.324 0.647 0.384
Pr 0.676 0.353 0.616
Pr 0.500 0.000 0.000
Al 0.807 0.615 0.074
Al 0.193 0.385 0.926
Si 0.976 0.952 0.659
Si 0.024 0.048 0.341

Summary:
Its total energy is -36.72 eV for the cell shown. Its symmetry is C2/m (12).

No. 2
Material: DyTmCdAu
Method: DFT, PBE
State: optimized geometry

Unit cell a=3.658 b=3.658 c=7.230 alpha=90.00 beta=90.00 gamma=90.00
Sites, in units of the cell vectors:
Dy 0.000 0.000 0.845
Tm 0.000 0.000 0.371
Cd 0.500 0.500 0.113
Au 0.500 0.500 0.599

Summary:
Its total energy is -15.65 eV for the cell shown. The calculation puts the offset from the most stable computed form at 0.0 meV/atom. Its symmetry is P4mm (99).